# CeNpPa2P4

A relaxed CeNpPa2P4 crystal (PBE-GGA, Alexandria via LeMat-Bulk).

Summary:
Density ... 8.87 g/cm3
Formation energy ... -1256 meV/atom

Structure (CIF):
```
data_CeNpPa2P4
_cell_length_a 6.916
_cell_length_b 3.998
_cell_length_c 6.923
_cell_angle_alpha 90.00
_cell_angle_beta 109.54
_cell_angle_gamma 90.00
_space_group_name_H-M_alt 'P 1 2/m 1'
_space_group_IT_number 10
_space_group_name_Hall '-P 2y'
loop_
_atom_site_label
_atom_site_type_symbol
_atom_site_fract_x
_atom_site_fract_y
_atom_site_fract_z
Ce1 Ce 0.000 0.000 0.000
Np1 Np 0.000 0.500 0.500
Pa1 Pa 0.500 0.000 0.500
Pa2 Pa 0.500 0.500 0.000
P1 P 0.253 0.000 0.748
P2 P 0.256 0.500 0.255
```